1.
Entry from Alexandria via LeMat-Bulk: an optimized crystal structure of BP2HPb (PBE).

Output
**Volume**: 70.6 Å³/cell
**Total DFT energy (no corrections)**: -4.1583 eV/atom
**Density**: 6.61 Mg/m³
**D(E_F)**: 1.794 states/eV per cell

```
data_BP2HPb
_cell_length_a 4.558
_cell_length_b 4.558
_cell_length_c 3.399
_cell_angle_alpha 90.00
_cell_angle_beta 90.00
_cell_angle_gamma 90.00
_space_group_name_H-M_alt 'P 4/m m m'
_space_group_IT_number 123
_space_group_name_Hall '-P 4 2'
loop_
_atom_site_label
_atom_site_type_symbol
_atom_site_fract_x
_atom_site_fract_y
_atom_site_fract_z
B1 B 0.000 0.000 0.000
P1 P 0.000 0.500 0.000
H1 H 0.000 0.000 0.500
Pb1 Pb 0.500 0.500 0.500
```

=====

2.
Entry from Alexandria via LeMat-Bulk: an optimized crystal structure of AcSm2Au3 (PBE).

Output
**Volume**: 158.3 Å³/cell
**Total DFT energy (no corrections)**: -4.6788 eV/atom
**Density**: 11.74 Mg/m³
**D(E_F)**: 3.064 states/eV per cell

```
data_AcSm2Au3
_cell_length_a 3.745
_cell_length_b 3.745
_cell_length_c 11.287
_cell_angle_alpha 90.00
_cell_angle_beta 90.00
_cell_angle_gamma 90.00
_space_group_name_H-M_alt 'P 4/m m m'
_space_group_IT_number 123
_space_group_name_Hall '-P 4 2'
loop_
_atom_site_label
_atom_site_type_symbol
_atom_site_fract_x
_atom_site_fract_y
_atom_site_fract_z
Ac1 Ac 0.000 0.000 0.000
Sm1 Sm 0.000 0.000 0.339
Au1 Au 0.500 0.500 0.189
Au2 Au 0.500 0.500 0.500
```

=====

3.
Entry from Alexandria via LeMat-Bulk: an optimized crystal structure of Pa2TlGa (PBE).

Output
**Volume**: 94.8 Å³/cell
**Total DFT energy (no corrections)**: -6.1258 eV/atom
**Density**: 12.90 Mg/m³
**D(E_F)**: 7.201 states/eV per cell

```
data_Pa2TlGa
_cell_length_a 3.232
_cell_length_b 3.232
_cell_length_c 9.076
_cell_angle_alpha 90.00
_cell_angle_beta 90.00
_cell_angle_gamma 90.00
_space_group_name_H-M_alt 'P 4/m m m'
_space_group_IT_number 123
_space_group_name_Hall '-P 4 2'
loop_
_atom_site_label
_atom_site_type_symbol
_atom_site_fract_x
_atom_site_fract_y
_atom_site_fract_z
Pa1 Pa 0.000 0.000 0.227
Tl1 Tl 0.500 0.500 0.500
Ga1 Ga 0.500 0.500 0.000
```

=====

4.
Entry from Alexandria via LeMat-Bulk: an optimized crystal structure of CoIr3 (PBE).

Output
**Volume**: 114.5 Å³/cell
**Total DFT energy (no corrections)**: -7.9464 eV/atom
**Density**: 18.44 Mg/m³
**D(E_F)**: 9.135 states/eV per cell

```
data_CoIr3
_cell_length_a 4.855
_cell_length_b 4.855
_cell_length_c 4.855
_cell_angle_alpha 90.00
_cell_angle_beta 90.00
_cell_angle_gamma 90.00
_space_group_name_H-M_alt 'P m -3 n'
_space_group_IT_number 223
_space_group_name_Hall '-P 4n 2 3'
loop_
_atom_site_label
_atom_site_type_symbol
_atom_site_fract_x
_atom_site_fract_y
_atom_site_fract_z
Co1 Co 0.000 0.000 0.000
Ir1 Ir 0.000 0.250 0.500
```

=====

no.,total magnetic moment (μB/cell)
1,0.0
2,0.0
3,0.8
4,4.1